Crystalline Hg2SeBr at its relaxed geometry. Source: Alexandria via LeMat-Bulk, functional PBE.

```
Hg2SeBr
1.0
-1.863 -3.990 -0.127
0.982 -0.274 -5.878
10.008 -4.704 -0.800
Hg Se Br
4 2 2
Cartesian
1.343 -3.624 -3.217
7.114 -6.344 -4.274
2.506 -4.262 -0.758
-0.108 -0.599 -0.362
2.689 -1.777 -4.598
8.999 -7.264 -2.819
8.434 -4.474 -6.107
4.766 -5.285 -4.144
```

Summary:
E_form (uncorrected)   -254.3 meV/atom
Excess energy over the best structure of this formula in the dataset   0 meV per atom
Crystal system   triclinic
Calculated density   6.57 g/cm³
Spin magnetization   0.00 μB/cell
Space group   P1 (1)